CaHfS2N: optimized geometry, GGA-PBE.

Output
E ... -6.841 eV per atom
M_tot ... 1.0 μB/f.u.
Offset from the most stable computed form ... 0 meV per atom
Uncorrected formation energy ... -1.1342 eV per atom

a = 5.016 Å, b = 5.016 Å, c = 4.123 Å
α = 90.00°, β = 90.00°, γ = 90.00°
Space group P4/mmm (No. 123)
Unique sites:
Ca1 0.000 0.000 0.000 (multiplicity 1)
Hf1 0.500 0.500 0.500 (multiplicity 1)
S1 0.000 0.500 0.500 (multiplicity 2)
N1 0.500 0.500 0.000 (multiplicity 1)